(1)
Compound: PrNd2MgO
Source: the Alexandria database
Functional: GGA-PBE
Structure: optimized geometry

uncorrected formation energy = -5.85 eV per formula unit

```
data_PrNd2MgO
_cell_length_a 5.020
_cell_length_b 5.020
_cell_length_c 5.078
_cell_angle_alpha 90.00
_cell_angle_beta 90.00
_cell_angle_gamma 90.00
_symmetry_space_group_name_H-M 'P 4/m m m'
_symmetry_Int_Tables_number 123
_symmetry_space_group_name_Hall '-P 4 2'
loop_
_atom_site_label
_atom_site_type_symbol
_atom_site_fract_x
_atom_site_fract_y
_atom_site_fract_z
_atom_site_occupancy
Pr1 Pr 0.000 0.000 0.000 1
Nd1 Nd 0.000 0.500 0.500 1
Mg1 Mg 0.500 0.500 0.000 1
O1 O 0.000 0.000 0.500 1
```

---

(2)
Compound: Nd2MgPtO5
Source: the Alexandria database
Functional: GGA-PBE
Structure: optimized geometry

uncorrected formation energy = -19.35 eV per formula unit

```
data_Nd2MgPtO5
_cell_length_a 6.722
_cell_length_b 6.722
_cell_length_c 5.815
_cell_angle_alpha 90.00
_cell_angle_beta 90.00
_cell_angle_gamma 90.00
_symmetry_space_group_name_H-M 'P 4/m b m'
_symmetry_Int_Tables_number 127
_symmetry_space_group_name_Hall '-P 4 2ab'
loop_
_atom_site_label
_atom_site_type_symbol
_atom_site_fract_x
_atom_site_fract_y
_atom_site_fract_z
_atom_site_occupancy
Nd1 Nd 0.172 0.328 0.000 1
Mg1 Mg 0.000 0.000 0.500 1
Pt1 Pt 0.000 0.500 0.500 1
O1 O 0.000 0.000 0.000 1
O2 O 0.147 0.647 0.254 1
```

---

(3)
Compound: Nd2MgPtO6
Source: the Alexandria database
Functional: GGA-PBE
Structure: optimized geometry

uncorrected formation energy = -24.44 eV per formula unit

```
data_Nd2MgPtO6
_cell_length_a 5.510
_cell_length_b 5.769
_cell_length_c 9.608
_cell_angle_alpha 90.00
_cell_angle_beta 124.75
_cell_angle_gamma 90.00
_symmetry_space_group_name_H-M 'P 1 21/c 1'
_symmetry_Int_Tables_number 14
loop_
_symmetry_equiv_pos_as_xyz
'x,y,z'
'-x,-y,-z'
'-x,y+1/2,-z+1/2'
'x,-y+1/2,z+1/2'
loop_
_atom_site_label
_atom_site_type_symbol
_atom_site_fract_x
_atom_site_fract_y
_atom_site_fract_z
_atom_site_occupancy
Nd1 Nd 0.233 0.062 0.251 1
Mg1 Mg 0.500 0.000 0.000 1
Pt1 Pt 0.000 0.000 0.500 1
O1 O 0.143 0.204 0.947 1
O2 O 0.248 0.701 0.948 1
O3 O 0.349 0.032 0.748 1
```

---

(4)
Compound: RbNdMgO3
Source: the Alexandria database
Functional: GGA-PBE
Structure: optimized geometry

uncorrected formation energy = -14.86 eV per formula unit

```
data_RbNdMgO3
_cell_length_a 7.885
_cell_length_b 3.695
_cell_length_c 8.742
_cell_angle_alpha 90.00
_cell_angle_beta 105.04
_cell_angle_gamma 90.00
_symmetry_space_group_name_H-M 'P 1 21/m 1'
_symmetry_Int_Tables_number 11
loop_
_symmetry_equiv_pos_as_xyz
'x,y,z'
'-x,-y,-z'
'-x,y+1/2,-z'
'x,-y+1/2,z'
loop_
_atom_site_label
_atom_site_type_symbol
_atom_site_fract_x
_atom_site_fract_y
_atom_site_fract_z
_atom_site_occupancy
Rb1 Rb 0.182 0.250 0.190 1
Nd1 Nd 0.345 0.750 0.852 1
Mg1 Mg 0.081 0.250 0.607 1
O1 O 0.144 0.250 0.840 1
O2 O 0.150 0.750 0.560 1
O3 O 0.453 0.750 0.126 1
```

---

| no. | calculated total energy (eV/atom) |
| --- | --- |
| 1 | -5.3434 |
| 2 | -6.8129 |
| 3 | -7.1356 |
| 4 | -6.1768 |